VASP calculation (GGA-PBE) on a geometry-optimized Mn2Ir3 structure.

Crystal system: trigonal
Excess energy over the best structure of this formula in the dataset in meV/atom: 191
Electronic total energy in eV/atom: -8.855
ΔH_f (0 K) in meV/atom: 130

a = 4.100 Å, b = 4.100 Å, c = 5.131 Å
α = 90.00°, β = 90.00°, γ = 120.00°
Site moments in Bohr magnetons follow the coordinates.
Positions (direct):
Mn 0.667 0.333 0.176  2.67
Mn 0.333 0.667 0.824  2.67
Ir 0.000 0.000 0.000  0.12
Ir 0.667 0.333 0.658  -0.08
Ir 0.333 0.667 0.342  -0.08